Entry 1:
VASP calculation (GGA-PBEsol) on a geometry-optimized TaIr2W structure.

Calculated values
Its raw total energy is -11.9488 eV per atom. The spin magnetization is 0.00 μB per formula unit.

Cell and atoms, written as CIF:
```
data_TaIr2W
_chemical_formula_sum 'Ta1 Ir2 W1'
_symmetry_space_group_name_H-M 'P 4/m m m'
_symmetry_Int_Tables_number 123
_symmetry_space_group_name_Hall '-P 4 2'
_cell_length_a 3.951
_cell_length_b 3.951
_cell_length_c 3.878
_cell_angle_alpha 90.00
_cell_angle_beta 90.00
_cell_angle_gamma 90.00
loop_
_atom_site_label
_atom_site_fract_x
_atom_site_fract_y
_atom_site_fract_z
Ta1 0.000 0.000 0.000
Ir1 0.000 0.500 0.500
W1 0.500 0.500 0.000
```

Entry 2:
VASP calculation (GGA-PBEsol) on a geometry-optimized CrCuSe2 structure.

Calculated values
Its raw total energy is -5.4609 eV per atom. The spin magnetization is 2.92 μB per formula unit. Its formation energy without anion corrections is 0.1082 eV/atom.

Cell and atoms, written as CIF:
```
data_CrCuSe2
_chemical_formula_sum 'Cr4 Cu4 Se8'
_symmetry_space_group_name_H-M 'F m -3 m'
_symmetry_Int_Tables_number 225
_symmetry_space_group_name_Hall '-F 4 2 3'
_cell_length_a 6.301
_cell_length_b 6.301
_cell_length_c 6.301
_cell_angle_alpha 90.00
_cell_angle_beta 90.00
_cell_angle_gamma 90.00
loop_
_atom_site_label
_atom_site_fract_x
_atom_site_fract_y
_atom_site_fract_z
Cr1 0.000 0.000 0.000
Cu1 0.000 0.000 0.500
Se1 0.250 0.250 0.250
```

Entry 3:
VASP calculation (GGA-PBEsol) on a geometry-optimized LiSbAu2 structure.

Calculated values
Its raw total energy is -3.8786 eV per atom. The spin magnetization is 0.00 μB per formula unit. Its formation energy without anion corrections is -0.2856 eV/atom.

Cell and atoms, written as CIF:
```
data_LiSbAu2
_chemical_formula_sum 'Li2 Sb2 Au4'
_symmetry_space_group_name_H-M 'C 1 2 1'
_symmetry_Int_Tables_number 5
_cell_length_a 5.818
_cell_length_b 5.832
_cell_length_c 4.968
_cell_angle_alpha 90.00
_cell_angle_beta 121.62
_cell_angle_gamma 90.00
loop_
_symmetry_equiv_pos_as_xyz
'x,y,z'
'-x,y,-z'
'x+1/2,y+1/2,z'
'-x+1/2,y+1/2,-z'
loop_
_atom_site_label
_atom_site_fract_x
_atom_site_fract_y
_atom_site_fract_z
Li1 0.000 0.000 0.000
Sb1 0.000 0.741 0.500
Au1 0.000 0.237 0.500
Au2 0.000 0.495 0.000
```

Entry 4:
VASP calculation (GGA-PBEsol) on a geometry-optimized V2MoS4 structure.

Calculated values
Its raw total energy is -7.9238 eV per atom. The spin magnetization is 1.78 μB per formula unit. Its formation energy without anion corrections is -0.9847 eV/atom.

Cell and atoms, written as CIF:
```
data_V2MoS4
_chemical_formula_sum 'V4 Mo2 S8'
_symmetry_space_group_name_H-M 'C 1 m 1'
_symmetry_Int_Tables_number 8
_cell_length_a 12.433
_cell_length_b 3.170
_cell_length_c 5.847
_cell_angle_alpha 90.00
_cell_angle_beta 114.57
_cell_angle_gamma 90.00
loop_
_symmetry_equiv_pos_as_xyz
'x,y,z'
'x,-y,z'
'x+1/2,y+1/2,z'
'x+1/2,-y+1/2,z'
loop_
_atom_site_label
_atom_site_fract_x
_atom_site_fract_y
_atom_site_fract_z
V1 0.000 0.000 0.000
V2 0.240 0.500 0.673
Mo1 0.259 0.000 0.312
S1 0.104 0.000 0.444
S2 0.136 0.500 0.963
S3 0.359 0.000 0.014
S4 0.397 0.500 0.560
```

Entry 5:
VASP calculation (GGA-PBEsol) on a geometry-optimized Cd2In structure.

Calculated values
Its raw total energy is -1.6969 eV per atom. The spin magnetization is 0.00 μB per formula unit.

Cell and atoms, written as CIF:
```
data_Cd2In
_chemical_formula_sum 'Cd8 In4'
_symmetry_space_group_name_H-M 'I m m a'
_symmetry_Int_Tables_number 74
_symmetry_space_group_name_Hall '-I 2b 2'
_cell_length_a 3.174
_cell_length_b 4.871
_cell_length_c 18.905
_cell_angle_alpha 90.00
_cell_angle_beta 90.00
_cell_angle_gamma 90.00
loop_
_atom_site_label
_atom_site_fract_x
_atom_site_fract_y
_atom_site_fract_z
Cd1 0.000 0.250 0.036
Cd2 0.000 0.250 0.187
In1 0.000 0.250 0.620
```

Entry 6:
VASP calculation (GGA-PBEsol) on a geometry-optimized Sc2As structure.

Calculated values
Its raw total energy is -7.1228 eV per atom. The spin magnetization is 0.00 μB per formula unit.

Cell and atoms, written as CIF:
```
data_Sc2As
_chemical_formula_sum 'Sc6 As3'
_symmetry_space_group_name_H-M 'P -6 2 m'
_symmetry_Int_Tables_number 189
_symmetry_space_group_name_Hall 'P -6 -2'
_cell_length_a 7.2582
_cell_length_b 7.2582
_cell_length_c 3.8055
_cell_angle_alpha 90.00
_cell_angle_beta 90.00
_cell_angle_gamma 120.00
loop_
_atom_site_label
_atom_site_fract_x
_atom_site_fract_y
_atom_site_fract_z
Sc1 0.0000 0.2607 0.0000
Sc2 0.0000 0.5979 0.5000
As1 0.0000 0.0000 0.5000
As2 0.3333 0.6667 0.0000
```

Entry 7:
VASP calculation (GGA-PBEsol) on a geometry-optimized BaCa2As2 structure.

Calculated values
Its raw total energy is -4.1171 eV per atom. The spin magnetization is 0.19 μB per formula unit.

Cell and atoms, written as CIF:
```
data_BaCa2As2
_chemical_formula_sum 'Ba2 Ca4 As4'
_symmetry_space_group_name_H-M 'I 4/m m m'
_symmetry_Int_Tables_number 139
_symmetry_space_group_name_Hall '-I 4 2'
_cell_length_a 5.516
_cell_length_b 5.516
_cell_length_c 10.539
_cell_angle_alpha 90.00
_cell_angle_beta 90.00
_cell_angle_gamma 90.00
loop_
_atom_site_label
_atom_site_fract_x
_atom_site_fract_y
_atom_site_fract_z
Ba1 0.000 0.000 0.000
Ca1 0.000 0.000 0.321
As1 0.000 0.500 0.250
```

Entry 8:
VASP calculation (GGA-PBEsol) on a geometry-optimized HoB2Rh3 structure.

Calculated values
Its raw total energy is -8.0003 eV per atom. The spin magnetization is 0.00 μB per formula unit.

Cell and atoms, written as CIF:
```
data_HoB2Rh3
_chemical_formula_sum 'Ho1 B2 Rh3'
_symmetry_space_group_name_H-M 'P 6/m m m'
_symmetry_Int_Tables_number 191
_symmetry_space_group_name_Hall '-P 6 2'
_cell_length_a 5.3339
_cell_length_b 5.3339
_cell_length_c 3.1034
_cell_angle_alpha 90.00
_cell_angle_beta 90.00
_cell_angle_gamma 120.00
loop_
_atom_site_label
_atom_site_fract_x
_atom_site_fract_y
_atom_site_fract_z
Ho1 0.0000 0.0000 0.0000
B1 0.3333 0.6667 0.0000
Rh1 0.0000 0.5000 0.5000
```

Q: Number 2 is which compound?
A: CrCuSe2